{"formula": "Dy3PaP4", "functional": "PBE", "state": "optimized geometry", "lattice": [[-2.819, 2.819, 5.640], [2.819, -2.819, 5.640], [2.819, 2.819, -5.640]], "species": ["Dy", "Dy", "Dy", "Pa", "P", "P", "P", "P"], "frac_coords": [[0.000, 0.000, 0.000], [0.250, 0.750, 0.500], [0.750, 0.250, 0.500], [0.500, 0.500, 0.000], [0.000, 0.500, 0.500], [0.255, 0.255, 0.000], [0.500, 0.000, 0.500], [0.745, 0.745, 0.000]], "dos_at_fermi_per_ev_cell": 2.85, "m_tot_mub_per_cell": 0.0, "total_energy_ev_per_atom": -7.171, "formation_energy_ev_per_atom": -1.553}

{"formula": "SrV2Bi", "functional": "PBE", "state": "optimized geometry", "lattice": [[-4.277, 4.277, 3.274], [4.277, -4.277, 3.274], [4.277, 4.277, -3.274]], "species": ["Sr", "Sr", "V", "V", "V", "V", "Bi", "Bi"], "frac_coords": [[0.000, 0.000, 0.000], [0.750, 0.250, 0.500], [0.187, 0.625, 0.062], [0.375, 0.437, 0.562], [0.563, 0.125, 0.938], [0.875, 0.813, 0.438], [0.250, 0.750, 0.500], [0.500, 0.500, 0.000]], "dos_at_fermi_per_ev_cell": 9.32, "m_tot_mub_per_cell": 15.0, "total_energy_ev_per_atom": -5.097, "formation_energy_ev_per_atom": 0.853}